RbSeBr2Cl: optimized geometry, PBE.

abc: 5.685 5.685 5.016
angles: 90.00 90.00 90.00
Element x y z (fractional)
Rb 0.000 0.000 0.000
Se 0.500 0.500 0.500
Br 0.000 0.500 0.500
Br 0.500 0.000 0.500
Cl 0.500 0.500 0.000

Computed properties:
The formation energy without anion corrections is -744 meV/atom. The total moment is 0.00 μB per formula unit. The energy above the most stable polymorph in this dataset comes out at 0.0 meV/atom.